No. 1
DFT (GGA-PBE) results for a relaxed structure of SrNiW.

extended XYZ file:
```
3
Lattice="3.1811 -2.0985 2.5426 -1.0275 -1.4365 4.2271 -0.3560 -4.4833 0.8724" Properties=species:S:1:pos:R:3 pbc="T T T"
Sr 1.3483 -6.0137 5.7316
W 0.4494 -2.0046 1.9105
Ni 0.8988 -4.0091 3.8210
```

No. 2
DFT (GGA-PBE) results for a relaxed structure of SrNiW.

extended XYZ file:
```
3
Lattice="-2.6581 -2.5454 -5.4447 -0.7372 -5.7618 -3.0737 -0.2045 3.8162 5.3465" Properties=species:S:1:pos:R:3 pbc="T T T"
Ni -0.1193 -0.2920 -0.2994
Sr -1.1458 -2.8034 -2.8746
W -2.1302 -5.2120 -5.3444
```

No. 3
DFT (GGA-PBE) results for a relaxed structure of SrNi2W.

extended XYZ file:
```
4
Lattice="3.1441 0.0000 0.0000 0.0000 3.1441 0.0000 0.0000 0.0000 7.2008" Properties=species:S:1:pos:R:3 pbc="T T T"
Ni 0.0000 0.0000 0.0304
Ni 1.5721 1.5721 1.2535
Sr 0.0000 0.0000 3.4822
W 1.5721 1.5721 6.0351
```

No. 4
DFT (GGA-PBE) results for a relaxed structure of SrNiW.

extended XYZ file:
```
12
Lattice="-1.4417 -4.0274 -6.7053 3.4966 -0.4370 -0.4893 -0.3227 -8.1227 4.9481" Properties=species:S:1:pos:R:3 pbc="T T T"
Sr -0.7667 -10.6428 -2.4406
Sr 1.7304 -5.1589 -2.4271
Sr 2.4990 -1.9443 0.1940
Sr 0.0019 -7.4282 0.1805
W -0.5651 -7.5064 -3.8013
W 1.4362 -10.6289 0.3551
W 2.2974 -5.0807 1.5547
W 0.2961 -1.9582 -2.6017
Ni 0.4250 -4.1356 0.2636
Ni 1.9418 -8.6115 2.1666
Ni 1.3073 -8.4515 -2.5102
Ni -0.2095 -3.9756 -4.4132
```

No. 5
DFT (GGA-PBE) results for a relaxed structure of SrNi2W.

extended XYZ file:
```
4
Lattice="-0.2232 -4.0834 6.2168 -0.0989 -1.3050 -4.6997 2.3282 -1.4617 0.3526" Properties=species:S:1:pos:R:3 pbc="T T T"
Ni 0.0000 0.0000 0.0000
Ni 1.0525 -2.7726 3.2847
Sr 1.1146 -1.3833 -2.1735
W -0.1610 -2.6942 0.7586
```

No. 6
DFT (GGA-PBE) results for a relaxed structure of SrNiW.

extended XYZ file:
```
6
Lattice="-1.1370 9.4504 4.4935 -3.9381 -0.9292 0.9305 3.0372 -0.9083 2.6819" Properties=species:S:1:pos:R:3 pbc="T T T"
Sr -3.1968 8.0384 6.0371
Sr -0.4620 4.4877 4.9443
W -0.9082 3.2372 1.8108
W -0.0475 1.1247 3.3366
Ni -2.5296 2.3827 3.3576
Ni -0.6404 1.0875 0.7830
```

No. 7
DFT (GGA-PBE) results for a relaxed structure of SrNiW.

extended XYZ file:
```
6
Lattice="3.4900 -2.0149 0.0000 0.0000 4.0299 0.0000 0.0000 0.0000 10.1623" Properties=species:S:1:pos:R:3 pbc="T T T"
Sr 0.0000 0.0000 0.0000
Sr 0.0000 0.0000 5.0811
W 1.1633 2.0149 2.5406
W 2.3266 0.0000 7.6217
Ni 1.1633 2.0149 7.6217
Ni 2.3266 0.0000 2.5406
```

No. 8
DFT (GGA-PBE) results for a relaxed structure of SrNiW.

extended XYZ file:
```
6
Lattice="-1.1381 -5.4555 -1.5200 4.0030 -1.0791 -3.4044 2.3633 -1.3898 3.2192" Properties=species:S:1:pos:R:3 pbc="T T T"
Sr 1.9329 -5.0729 -0.3796
Sr 2.5676 -5.5543 -3.8304
W 4.8005 -3.4912 -1.8037
W 0.8360 -1.6801 -0.8886
Ni 3.1188 -2.4672 -0.1287
Ni 2.5167 -2.7020 -2.5649
```

no.,E above lowest polymorph (eV per formula unit),formation enthalpy at 0 K (kJ/mol of atoms)
1,3.16,133.8
2,0.87,60.1
3,1.34,51.1
4,0.40,45.1
5,1.48,54.5
6,0.14,36.8
7,1.10,67.5
8,0.18,37.9